# 1
A plane-wave DFT calculation with GGA-PBE was carried out for a relaxed structure of Sc3Zn2Co3.

Output
ΔE to the lowest computed polymorph, eV per atom: 0.0000
Calculated formation energy, kJ/mol of atoms: -14.49

Cell lengths 5.3279, 4.3652, 5.7834 Å; angles 90.00, 116.69, 90.00 degrees
Closest atoms and distances in Å follow each position.
Sites, in units of the cell vectors:
Sc (0.8474, 0.5000, 0.6176)  3 Co 2.42-2.65, 3 Zn 2.58-2.66
Co (0.8292, 0.5000, 0.1914)  4 Sc 2.42-2.66, 2 Zn 2.64
Sc (0.2924, 0.5000, 0.1327)  6 Co 2.64-2.85, 3 Zn 2.79-2.84, 1 Sc 2.86
Zn (0.6512, 0.0000, 0.3297)  5 Co 2.64-2.85, 5 Sc 2.65-2.79
Co (0.1537, 0.0000, 0.8047)  1 Co 2.48, 6 Sc 2.65-2.77, 2 Zn 2.74
Zn (0.3442, 0.5000, 0.6431)  5 Co 2.58-2.81, 5 Sc 2.58-2.86
Sc (0.7105, 0.0000, 0.8980)  5 Co 2.65-2.78, 3 Zn 2.65-2.86
Co (0.1714, 0.0000, 0.3829)  3 Co 2.48-2.74, 4 Zn 2.58-2.71, 1 Sc 2.78

***

# 2
A plane-wave DFT calculation with GGA-PBE was carried out for a relaxed structure of ZnPH5C2N4O3.

Output
ΔE to the lowest computed polymorph, eV per atom: 0.0000

Cell lengths 9.8575, 7.7092, 8.9500 Å; angles 90.00, 104.68, 90.00 degrees
Closest atoms and distances in Å follow each position.
Sites, in units of the cell vectors:
O (0.6327, 0.4015, 0.3329)  1 P 1.53
H (0.0930, 0.6643, 0.1791)  1 N 1.02
O (0.5620, 0.7016, 0.8903)  1 P 1.54
Zn (0.3163, 0.4027, 0.5264)  1 N 1.91, 3 O 1.93-1.99
Zn (0.6837, 0.9027, 0.9736)  1 N 1.91, 3 O 1.93-1.99
H (0.2759, 0.5850, 0.8232)  1 N 1.03
N (0.8741, 0.6426, 0.4748)  1 C 1.18
H (0.9070, 0.1643, 0.3209)  1 N 1.02
N (0.7418, 0.0484, 0.5731)  2 H 1.03
C (0.1612, 0.6257, 0.9827)  3 N 1.33-1.36
N (0.9253, 0.2413, 0.6102)  2 C 1.28-1.36
C (0.0296, 0.2992, 0.5642)  2 N 1.18-1.28
C (0.8388, 0.1257, 0.5173)  3 N 1.33-1.36
N (0.1485, 0.5856, 0.1238)  2 H 1.02-1.03
H (0.2292, 0.5191, 0.1973)  1 N 1.03
C (0.9704, 0.7992, 0.9358)  2 N 1.18-1.28
N (0.1259, 0.3574, 0.5252)  1 C 1.18
N (0.9253, 0.2587, 0.1102)  2 C 1.28-1.36
H (0.7241, 0.0850, 0.6768)  1 N 1.03
P (0.4847, 0.3242, 0.2853)  1 H 1.40, 3 O 1.53-1.54
N (0.8515, 0.4144, 0.8762)  2 H 1.02-1.03
O (0.4380, 0.2016, 0.6097)  1 P 1.54
H (0.7708, 0.4809, 0.8027)  1 N 1.03
H (0.6700, 0.9672, 0.5034)  1 N 1.03
P (0.4847, 0.1758, 0.7853)  1 H 1.40, 3 O 1.53-1.54
H (0.2292, 0.9809, 0.6973)  1 N 1.03
N (0.2582, 0.5484, 0.9269)  2 H 1.03
O (0.6327, 0.0985, 0.8329)  1 P 1.53
H (0.4916, 0.3383, 0.8568)  1 P 1.40
O (0.3673, 0.9015, 0.1671)  1 P 1.53
N (0.0747, 0.7587, 0.3898)  2 C 1.28-1.36
H (0.5084, 0.6617, 0.1432)  1 P 1.40
Zn (0.6837, 0.5973, 0.4736)  1 N 1.91, 3 O 1.93-1.99
N (0.8741, 0.8574, 0.9748)  1 C 1.18
H (0.4916, 0.1617, 0.3568)  1 P 1.40
H (0.9070, 0.3357, 0.8209)  1 N 1.02
C (0.1612, 0.8743, 0.4827)  3 N 1.33-1.36
O (0.6251, 0.5648, 0.6620)  1 P 1.54
H (0.6700, 0.5328, 0.0034)  1 N 1.03
N (0.7418, 0.4516, 0.0731)  2 H 1.03
H (0.0930, 0.8357, 0.6791)  1 N 1.02
H (0.7241, 0.4150, 0.1768)  1 N 1.03
O (0.3749, 0.0648, 0.8380)  1 P 1.54
O (0.3749, 0.4352, 0.3380)  1 P 1.54
H (0.5084, 0.8383, 0.6432)  1 P 1.40
N (0.2582, 0.9516, 0.4269)  2 H 1.03
N (0.1259, 0.1426, 0.0252)  1 C 1.18
C (0.9704, 0.7008, 0.4358)  2 N 1.18-1.28
P (0.5153, 0.6758, 0.7147)  1 H 1.40, 3 O 1.53-1.54
N (0.8515, 0.0856, 0.3762)  2 H 1.02-1.03
H (0.2759, 0.9150, 0.3232)  1 N 1.03
N (0.1485, 0.9144, 0.6238)  2 H 1.02-1.03
O (0.3673, 0.5985, 0.6671)  1 P 1.53
C (0.8388, 0.3743, 0.0173)  3 N 1.33-1.36
C (0.0296, 0.2008, 0.0642)  2 N 1.18-1.28
Zn (0.3163, 0.0973, 0.0264)  1 N 1.91, 3 O 1.93-1.99
H (0.3300, 0.0328, 0.4966)  1 N 1.03
N (0.0747, 0.7413, 0.8898)  2 C 1.28-1.36
O (0.4380, 0.2984, 0.1097)  1 P 1.54
O (0.5620, 0.7984, 0.3903)  1 P 1.54
H (0.3300, 0.4672, 0.9966)  1 N 1.03
P (0.5153, 0.8242, 0.2147)  1 H 1.40, 3 O 1.53-1.54
H (0.7708, 0.0191, 0.3027)  1 N 1.03
O (0.6251, 0.9352, 0.1620)  1 P 1.54

***

# 3
A plane-wave DFT calculation with GGA-PBE was carried out for a relaxed structure of Tb5CSe4.

Cell lengths 6.9685, 6.9685, 6.9685 Å; angles 99.54, 99.54, 131.94 degrees
Closest atoms and distances in Å follow each position.
Sites, in units of the cell vectors:
Tb (0.5004, 0.5004, 0.0000)  2 C 2.83-2.84, 4 Se 2.87
Tb (0.9101, 0.7404, 0.6483)  1 C 2.49
Tb (0.7404, 0.0921, 0.8303)  1 C 2.49
Se (0.1952, 0.5928, 0.7860)  6 Tb 2.87-3.12
Tb (0.0921, 0.2617, 0.3517)  1 C 2.49
Se (0.4092, 0.1952, 0.6023)  6 Tb 2.87-3.12
Se (0.8069, 0.4092, 0.2140)  6 Tb 2.87-3.12
Tb (0.2617, 0.9101, 0.1697)  1 C 2.49
C (0.0016, 0.0016, 0.0000)  4 Tb 2.49
Se (0.5928, 0.8069, 0.3977)  6 Tb 2.87-3.12

***

# 4
A plane-wave DFT calculation with GGA-PBE was carried out for a relaxed structure of Si2MoN.

Cell lengths 2.7999, 2.7999, 13.3451 Å; angles 90.00, 90.00, 120.00 degrees
Closest atoms and distances in Å follow each position.
Sites, in units of the cell vectors:
Mo (0.6667, 0.3333, 0.2500)  6 Si 2.59, 6 Mo 2.80
N (0.0000, 0.0000, 0.0000)  6 Si 2.08
Si (0.3333, 0.6667, 0.0982)  3 N 2.08
Mo (0.3333, 0.6667, 0.7500)  6 Si 2.59, 6 Mo 2.80
Si (0.6667, 0.3333, 0.9018)  3 N 2.08
Si (0.6667, 0.3333, 0.5982)  3 N 2.08
N (0.0000, 0.0000, 0.5000)  6 Si 2.08
Si (0.3333, 0.6667, 0.4018)  3 N 2.08

***

# 5
A plane-wave DFT calculation with GGA-PBE was carried out for a relaxed structure of SmUPd.

Output
ΔE to the lowest computed polymorph, eV per atom: 0.0000
Calculated formation energy, kJ/mol of atoms: 20.13

Cell lengths 4.8386, 4.8386, 4.8386 Å; angles 60.00, 60.00, 60.00 degrees
Closest atoms and distances in Å follow each position.
Sites, in units of the cell vectors:
U (0.7500, 0.7500, 0.7500)  4 Pd 2.96
Sm (0.2500, 0.2500, 0.2500)  4 Pd 2.96
Pd (0.0000, 0.0000, 0.0000)  4 Sm 2.96, 4 U 2.96

***

# 6
A plane-wave DFT calculation with GGA-PBE was carried out for a relaxed structure of Ba2InCoS6.

Cell lengths 6.9093, 6.9093, 6.9093 Å; angles 60.00, 60.00, 90.00 degrees
Closest atoms and distances in Å follow each position.
Sites, in units of the cell vectors:
Co (0.0000, 0.0000, 0.0000)  6 S 2.30
S (0.7647, 0.7647, 0.0000)  1 Co 2.30
Ba (0.7500, 0.2500, 0.5000)  12 S 3.46
S (0.7647, 0.7647, 0.4707)  1 Co 2.30
S (0.2353, 0.2353, 0.5293)  1 Co 2.30
Ba (0.2500, 0.7500, 0.5000)  12 S 3.46
S (0.7647, 0.2353, 0.0000)  1 Co 2.30
S (0.2353, 0.2353, 0.0000)  1 Co 2.30
S (0.2353, 0.7647, 0.0000)  1 Co 2.30
In (0.5000, 0.5000, 0.0000)  6 S 2.59

***

# 7
A plane-wave DFT calculation with GGA-PBE was carried out for a relaxed structure of BaBeBAu.

Output
ΔE to the lowest computed polymorph, eV per atom: 0.2812

Cell lengths 4.9222, 4.9222, 4.9222 Å; angles 60.00, 60.00, 60.00 degrees
Closest atoms and distances in Å follow each position.
Sites, in units of the cell vectors:
Be (0.2500, 0.2500, 0.2500)  4 B 3.01, 4 Ba 3.01
Ba (0.0000, 0.0000, 0.0000)  4 Au 3.01, 4 Be 3.01
B (0.5000, 0.5000, 0.5000)  4 Be 3.01, 4 Au 3.01
Au (0.7500, 0.7500, 0.7500)  4 B 3.01, 4 Ba 3.01

***

# 8
A plane-wave DFT calculation with GGA-PBE was carried out for a relaxed structure of SrDyGa.

Output
ΔE to the lowest computed polymorph, eV per atom: 0.0000

Cell lengths 5.2198, 5.2198, 5.2198 Å; angles 60.00, 60.00, 60.00 degrees
Closest atoms and distances in Å follow each position.
Sites, in units of the cell vectors:
Dy (0.2500, 0.2500, 0.2500)  4 Ga 3.20
Sr (0.7500, 0.7500, 0.7500)  4 Ga 3.20
Ga (0.0000, 0.0000, 0.0000)  4 Sr 3.20, 4 Dy 3.20

***

# 9
A plane-wave DFT calculation with GGA-PBE was carried out for a relaxed structure of LiPmGa.

Output
ΔE to the lowest computed polymorph, eV per atom: 0.0000

Cell lengths 4.5941, 4.5941, 4.5941 Å; angles 60.00, 60.00, 60.00 degrees
Closest atoms and distances in Å follow each position.
Sites, in units of the cell vectors:
Pm (0.5000, 0.5000, 0.5000)  4 Li 2.81
Li (0.7500, 0.7500, 0.7500)  4 Pm 2.81, 4 Ga 2.81
Ga (0.0000, 0.0000, 0.0000)  4 Li 2.81

***

# 10
A plane-wave DFT calculation with GGA-PBE was carried out for a relaxed structure of KGeMo.

Output
ΔE to the lowest computed polymorph, eV per atom: 0.0000

Cell lengths 4.8345, 4.8345, 4.8345 Å; angles 60.00, 60.00, 60.00 degrees
Closest atoms and distances in Å follow each position.
Sites, in units of the cell vectors:
Mo (0.7500, 0.7500, 0.7500)  4 Ge 2.96
Ge (0.0000, 0.0000, 0.0000)  4 Mo 2.96, 4 K 2.96
K (0.2500, 0.2500, 0.2500)  4 Ge 2.96

***

Per-record DFT total energy, eV per atom: -5.504; -6.308; -6.170; -7.497; -6.852; -4.650; -2.768; -3.212; -3.345; -4.323